Record 1
# NaCdAs

A relaxed structure of NaCdAs (PBE, Alexandria).

The value obtained for the density of states at the Fermi level is 1.7 states/eV per cell. The calculation puts the energy of formation at -7.79 kcal/mol of atoms. For the density, the calculation gives 5.1 g/cm³.

It has space group P-62m (No. 189), with a = 7.2677 Å, b = 7.2677 Å, c = 4.5187 Å, α = 90.00°, β = 90.00° and γ = 120.00°. Symmetry generates all atoms from Na at (0.0000, 0.5812, 0.0000), Cd at (0.0000, 0.2626, 0.5000), As at (0.0000, 0.0000, 0.0000) and As at (0.3333, 0.6667, 0.5000).

***

Record 2
# PuGeB

A relaxed structure of PuGeB (PBE, Alexandria).

The value obtained for the density of states at the Fermi level is 8.4 states/eV per cell. The calculation puts the energy of formation at -5.00 kcal/mol of atoms. For the density, the calculation gives 11.1 g/cm³.

It has space group P-6m2 (No. 187), with a = 3.6483 Å, b = 3.6483 Å, c = 4.2360 Å, α = 90.00°, β = 90.00° and γ = 120.00°. Symmetry generates all atoms from Pu at (0.0000, 0.0000, 0.0000), Ge at (0.3333, 0.6667, 0.5000) and B at (0.6667, 0.3333, 0.5000).

***

Record 3
# Sr3AgAs

A relaxed structure of Sr3AgAs (PBE, Alexandria).

The value obtained for the density of states at the Fermi level is 4.5 states/eV per cell. The calculation puts the energy of formation at -9.95 kcal/mol of atoms. The calculation puts the distance to the lowest polymorph of the same formula at 0 meV/atom. For the density, the calculation gives 3.5 g/cm³.

It has space group Pm-3m (No. 221), with a = 5.9578 Å, b = 5.9578 Å, c = 5.9578 Å, α = 90.00°, β = 90.00° and γ = 90.00°. Symmetry generates all atoms from Sr at (0.0000, 0.0000, 0.5000), Ag at (0.5000, 0.5000, 0.5000) and As at (0.0000, 0.0000, 0.0000).

***

Record 4
# LiMgSn2

A relaxed structure of LiMgSn2 (PBE, Alexandria).

The value obtained for the density of states at the Fermi level is 1.3 states/eV per cell. The calculation puts the energy of formation at -5.47 kcal/mol of atoms. For the density, the calculation gives 4.9 g/cm³.

It has space group P4/mmm (No. 123), with a = 4.6283 Å, b = 4.6283 Å, c = 4.2262 Å, α = 90.00°, β = 90.00° and γ = 90.00°. Symmetry generates all atoms from Li at (0.0000, 0.0000, 0.0000), Mg at (0.5000, 0.5000, 0.0000) and Sn at (0.0000, 0.5000, 0.5000).

***

Record 5
# Sr2EuAl

A relaxed structure of Sr2EuAl (PBE, Alexandria).

The value obtained for the density of states at the Fermi level is 13.5 states/eV per cell. The calculation puts the energy of formation at 1.12 kcal/mol of atoms. The calculation puts the distance to the lowest polymorph of the same formula at 69 meV/atom. For the density, the calculation gives 4.0 g/cm³.

It has space group P4/mmm (No. 123), with a = 5.2856 Å, b = 5.2856 Å, c = 5.3007 Å, α = 90.00°, β = 90.00° and γ = 90.00°. Symmetry generates all atoms from Sr at (0.0000, 0.5000, 0.0000), Eu at (0.0000, 0.0000, 0.5000) and Al at (0.5000, 0.5000, 0.5000).

***

Record 6
# PrScCdCu

A relaxed structure of PrScCdCu (PBE, Alexandria).

The value obtained for the density of states at the Fermi level is 15.4 states/eV per cell. The calculation puts the energy of formation at -3.52 kcal/mol of atoms. For the density, the calculation gives 6.4 g/cm³.

It has space group F-43m (No. 216), with a = 7.2132 Å, b = 7.2132 Å, c = 7.2132 Å, α = 90.00°, β = 90.00° and γ = 90.00°. Symmetry generates all atoms from Pr at (0.0000, 0.0000, 0.0000), Sc at (0.0000, 0.0000, 0.5000), Cd at (0.2500, 0.2500, 0.7500) and Cu at (0.2500, 0.2500, 0.2500).

***

Record 7
# BaSrSb

A relaxed structure of BaSrSb (PBE, Alexandria).

The value obtained for the density of states at the Fermi level is 2.4 states/eV per cell. The calculation puts the distance to the lowest polymorph of the same formula at 115 meV/atom. For the density, the calculation gives 3.4 g/cm³. The value obtained for the formation energy without anion corrections is -0.72 eV/atom.

It has space group P3m1 (No. 156), with a = 4.9380 Å, b = 4.9380 Å, c = 8.0072 Å, α = 90.00°, β = 90.00° and γ = 120.00°. Symmetry generates all atoms from Ba at (0.0000, 0.0000, 0.0000), Sr at (0.3333, 0.6667, 0.4433) and Sb at (0.6667, 0.3333, 0.2374).

***

Record 8
# SrCe2Tl9

A relaxed structure of SrCe2Tl9 (PBE, Alexandria).

The value obtained for the density of states at the Fermi level is 16.1 states/eV per cell. The calculation puts the energy of formation at -5.54 kcal/mol of atoms. For the density, the calculation gives 10.5 g/cm³.

It has space group P4/mmm (No. 123), with a = 4.8759 Å, b = 4.8759 Å, c = 14.6777 Å, α = 90.00°, β = 90.00° and γ = 90.00°. Symmetry generates all atoms from Sr at (0.0000, 0.0000, 0.0000), Ce at (0.0000, 0.0000, 0.3387), Tl at (0.0000, 0.5000, 0.1732), Tl at (0.0000, 0.5000, 0.5000), Tl at (0.5000, 0.5000, 0.0000) and Tl at (0.5000, 0.5000, 0.3354).

***

Record 9
# ZnPRhSe

A relaxed structure of ZnPRhSe (PBE, Alexandria).

The value obtained for the density of states at the Fermi level is 2.5 states/eV per cell. The calculation puts the distance to the lowest polymorph of the same formula at 234 meV/atom. For the density, the calculation gives 5.7 g/cm³. The value obtained for the formation energy without anion corrections is -0.15 eV/atom.

It has space group P1 (No. 1), with a = 3.7695 Å, b = 4.3917 Å, c = 5.5748 Å, α = 108.43°, β = 103.68° and γ = 101.72°. Symmetry generates all atoms from Zn at (0.0000, 0.0000, 0.0000), P at (0.2178, 0.6048, 0.1551), Rh at (0.5734, 0.3860, 0.9057) and Se at (0.3473, 0.7449, 0.6189).

***

Record 10
# PaVSe4

A relaxed structure of PaVSe4 (PBE, Alexandria).

The value obtained for the density of states at the Fermi level is 7.0 states/eV per cell. The calculation puts the distance to the lowest polymorph of the same formula at 0 meV/atom. For the density, the calculation gives 5.7 g/cm³. The value obtained for the formation energy without anion corrections is -1.01 eV/atom.

It has space group P2/m (No. 10), with a = 6.5188 Å, b = 3.9588 Å, c = 7.1113 Å, α = 90.00°, β = 109.05° and γ = 90.00°. Symmetry generates all atoms from Pa at (0.0000, 0.0000, 0.0000), V at (0.5000, 0.5000, 0.0000), Se at (0.2668, 0.5000, 0.2346) and Se at (0.2818, 0.0000, 0.7849).

***

Record 11
# YMgCuSe3

A relaxed structure of YMgCuSe3 (PBE, Alexandria).

For the density, the calculation gives 5.3 g/cm³. The value obtained for the formation energy without anion corrections is -1.22 eV/atom.

It has space group P2_1/m (No. 11), with a = 7.8773 Å, b = 3.8806 Å, c = 8.7443 Å, α = 90.00°, β = 101.98° and γ = 90.00°. Symmetry generates all atoms from Y at (0.1841, 0.2500, 0.2478), Mg at (0.3377, 0.7500, 0.8389), Cu at (0.0767, 0.2500, 0.5790), Se at (0.0909, 0.2500, 0.8631), Se at (0.2518, 0.7500, 0.5131) and Se at (0.4159, 0.7500, 0.1528).

***

Record 12
# Ba2InFe

A relaxed structure of Ba2InFe (PBE, Alexandria).

The value obtained for the density of states at the Fermi level is 10.4 states/eV per cell. The calculation puts the energy of formation at 4.52 kcal/mol of atoms. For the density, the calculation gives 5.4 g/cm³.

It has space group Imm2 (No. 44), with a = 4.1148 Å, b = 5.7872 Å, c = 11.5016 Å, α = 90.00°, β = 90.00° and γ = 90.00°. Symmetry generates all atoms from Ba at (0.0000, 0.0000, 0.0000), Ba at (0.0000, 0.5000, 0.1925), In at (0.0000, 0.5000, 0.7829) and Fe at (0.0000, 0.0000, 0.4287).